1.
A plane-wave DFT calculation with GGA-PBE was carried out for LiZrCr after structural relaxation.

Geometry as POSCAR:
```
LiZrCr
1.0
7.330 -0.022 0.016
6.603 2.717 -0.001
0.727 -0.792 2.622
Cr Li Zr
1 1 1
Direct
0.004 0.004 0.996
0.347 0.347 0.653
0.649 0.649 0.351
```

Summary:
As for the space group: Fmm2. Its energy above the most stable polymorph in this dataset is 114 meV/atom. As for the mass density: 4.8 g/cm³. The formation energy from the elements comes out at 0.498 eV per atom. For the volume, the calculation gives 17.492 A^3/atom.

2.
A plane-wave DFT calculation with GGA-PBE was carried out for LiSmDy4Se8 after structural relaxation.

Geometry as POSCAR:
```
LiSmDy4Se8
1.0
-6.679 -4.522 2.242
1.019 -7.668 3.200
-1.577 -1.374 8.159
Li Sm Dy Se
1 1 4 8
Direct
0.375 0.375 0.876
0.005 0.005 0.986
0.626 0.626 0.122
0.005 0.484 0.505
0.484 0.005 0.505
0.005 0.005 0.505
0.248 0.765 0.740
0.765 0.248 0.740
0.248 0.248 0.740
0.244 0.244 0.267
0.755 0.226 0.264
0.226 0.755 0.264
0.755 0.755 0.264
0.759 0.759 0.723
```

Summary:
As for the space group: R3m. As for the raw formation energy: -1776.7 meV per atom. As for the mass density: 5.7 g/cm³. For the volume, the calculation gives 29.904 A^3/atom.

3.
A plane-wave DFT calculation with GGA-PBE was carried out for Er8C3N3O after structural relaxation.

Geometry as POSCAR:
```
Er8C3N3O
1.0
6.955 0.000 0.000
-3.477 6.023 -0.021
0.000 -3.996 5.706
Er C N O
8 3 3 1
Direct
0.248 0.496 0.244
0.752 0.504 0.756
0.753 0.506 0.252
0.247 0.494 0.748
0.753 0.999 0.252
0.247 0.001 0.748
0.246 0.999 0.252
0.754 0.001 0.748
0.500 0.000 0.500
0.500 0.500 0.500
0.000 0.500 0.500
0.000 0.000 0.000
0.000 0.500 0.000
0.500 0.500 0.000
0.000 0.000 0.500
```

Summary:
As for the space group: R-3m. As for the raw formation energy: -1204.9 meV per atom. As for the mass density: 10.0 g/cm³. For the volume, the calculation gives 15.895 A^3/atom.

4.
A plane-wave DFT calculation with GGA-PBE was carried out for SnOs2SeN after structural relaxation.

Geometry as POSCAR:
```
SnOs2SeN
1.0
3.893 0.000 0.000
0.000 6.365 0.000
0.000 0.000 3.893
Os Sn Se N
2 1 1 1
Direct
0.000 0.000 0.500
0.500 0.000 0.000
0.500 0.500 0.500
0.000 0.500 0.000
0.000 0.000 0.000
```

Summary:
As for the space group: P4/mmm. Its energy above the most stable polymorph in this dataset is 0 meV/atom. As for the raw formation energy: 863.4 meV per atom. As for the mass density: 10.2 g/cm³. For the volume, the calculation gives 19.292 A^3/atom.